Material: GaPdW3
Method: DFT, GGA-PBEsol
State: relaxed

The formation energy is 1902 meV per atom. Its crystal system is cubic. The density of states at the Fermi level comes out at 0.79 states/eV per atom. The value obtained for the magnetic moment is 0.00 μB per atom.

Cell and atoms, written as extended XYZ:
```
5
Lattice="-2.098 3.925 -0.618 -3.925 -1.939 1.008 0.614 1.011 4.334" Properties=species:S:1:pos:R:3 pbc="T T T"
Ga 0.000 0.000 0.000
Pd -2.705 1.498 2.362
W -1.963 -0.970 0.504
W 0.307 0.505 2.167
W -1.049 1.962 -0.309
```